Run a
Below is a relaxed CsLiMg6O7 crystal, with properties calculated at the GGA-PBE level.

Values from the calculation:
Theoretical density in Mg/m³: 3.2

```
data_CsLiMg6O7
_cell_length_a 4.1564
_cell_length_b 4.1564
_cell_length_c 11.9594
_cell_angle_alpha 90.00
_cell_angle_beta 90.00
_cell_angle_gamma 90.00
_symmetry_space_group_name_H-M 'P 4 m m'
_symmetry_Int_Tables_number 99
loop_
_symmetry_equiv_pos_as_xyz
'x,y,z'
'-y,x,z'
'-x,-y,z'
'y,-x,z'
'-x,y,z'
'y,x,z'
'x,-y,z'
'-y,-x,z'
loop_
_atom_site_label
_atom_site_type_symbol
_atom_site_fract_x
_atom_site_fract_y
_atom_site_fract_z
Cs1 Cs 0.0000 0.0000 0.0000
Li1 Li 0.0000 0.0000 0.4889
Mg1 Mg 0.0000 0.5000 0.3051
Mg2 Mg 0.0000 0.5000 0.6613
Mg3 Mg 0.5000 0.5000 0.4670
Mg4 Mg 0.5000 0.5000 0.8418
O1 O 0.0000 0.0000 0.2745
O2 O 0.0000 0.0000 0.6515
O3 O 0.0000 0.5000 0.4860
O4 O 0.0000 0.5000 0.8312
O5 O 0.5000 0.5000 0.2979
```

=====

Run b
Below is a relaxed CsLiMg6O7 crystal, with properties calculated at the GGA-PBE level.

Values from the calculation:
Theoretical density in Mg/m³: 3.1

```
data_CsLiMg6O7
_cell_length_a 4.1640
_cell_length_b 4.1640
_cell_length_c 12.4128
_cell_angle_alpha 90.00
_cell_angle_beta 90.00
_cell_angle_gamma 90.00
_symmetry_space_group_name_H-M 'P 4 m m'
_symmetry_Int_Tables_number 99
loop_
_symmetry_equiv_pos_as_xyz
'x,y,z'
'-y,x,z'
'-x,-y,z'
'y,-x,z'
'-x,y,z'
'y,x,z'
'x,-y,z'
'-y,-x,z'
loop_
_atom_site_label
_atom_site_type_symbol
_atom_site_fract_x
_atom_site_fract_y
_atom_site_fract_z
Cs1 Cs 0.0000 0.0000 0.0000
Li1 Li 0.5000 0.5000 0.1399
Mg1 Mg 0.0000 0.0000 0.5027
Mg2 Mg 0.0000 0.5000 0.3051
Mg3 Mg 0.0000 0.5000 0.6841
Mg4 Mg 0.5000 0.5000 0.5198
O1 O 0.0000 0.0000 0.3407
O2 O 0.0000 0.0000 0.6930
O3 O 0.0000 0.5000 0.1510
O4 O 0.0000 0.5000 0.5113
O5 O 0.5000 0.5000 0.6900
```

=====

Run c
Below is a relaxed CsLiMg6O7 crystal, with properties calculated at the GGA-PBE level.

Values from the calculation:
Theoretical density in Mg/m³: 3.7

```
data_CsLiMg6O7
_cell_length_a 4.6460
_cell_length_b 4.6460
_cell_length_c 8.2063
_cell_angle_alpha 90.00
_cell_angle_beta 90.00
_cell_angle_gamma 90.00
_symmetry_space_group_name_H-M 'P 4 m m'
_symmetry_Int_Tables_number 99
loop_
_symmetry_equiv_pos_as_xyz
'x,y,z'
'-y,x,z'
'-x,-y,z'
'y,-x,z'
'-x,y,z'
'y,x,z'
'x,-y,z'
'-y,-x,z'
loop_
_atom_site_label
_atom_site_type_symbol
_atom_site_fract_x
_atom_site_fract_y
_atom_site_fract_z
Cs1 Cs 0.0000 0.0000 0.0000
Li1 Li 0.0000 0.0000 0.5583
Mg1 Mg 0.0000 0.5000 0.3433
Mg2 Mg 0.0000 0.5000 0.8316
Mg3 Mg 0.5000 0.5000 0.1025
Mg4 Mg 0.5000 0.5000 0.5885
O1 O 0.0000 0.0000 0.3369
O2 O 0.0000 0.5000 0.0917
O3 O 0.0000 0.5000 0.6000
O4 O 0.5000 0.5000 0.3450
O5 O 0.5000 0.5000 0.8454
```

=====

run b (11 meV/atom below the next structure)

=====

Run a
Below is a relaxed Cs2LiN crystal, with properties calculated at the GGA-PBE level.

Values from the calculation:
Theoretical density in Mg/m³: 3.2

```
data_Cs2LiN
_cell_length_a 12.2298
_cell_length_b 12.2298
_cell_length_c 3.9737
_cell_angle_alpha 90.00
_cell_angle_beta 90.00
_cell_angle_gamma 90.00
_symmetry_space_group_name_H-M 'I -4 2 d'
_symmetry_Int_Tables_number 122
_symmetry_space_group_name_Hall 'I -4 2bw'
loop_
_atom_site_label
_atom_site_type_symbol
_atom_site_fract_x
_atom_site_fract_y
_atom_site_fract_z
Cs1 Cs 0.0505 0.7500 0.1250
Li1 Li 0.0000 0.0000 0.5000
N1 N 0.0000 0.0000 0.0000
```

=====

Run b
Below is a relaxed Cs2LiN crystal, with properties calculated at the GGA-PBE level.

Values from the calculation:
Theoretical density in Mg/m³: 4.1

```
data_Cs2LiN
_cell_length_a 7.7278
_cell_length_b 7.7278
_cell_length_c 7.7278
_cell_angle_alpha 90.00
_cell_angle_beta 90.00
_cell_angle_gamma 90.00
_symmetry_space_group_name_H-M 'F m -3 m'
_symmetry_Int_Tables_number 225
_symmetry_space_group_name_Hall '-F 4 2 3'
loop_
_atom_site_label
_atom_site_type_symbol
_atom_site_fract_x
_atom_site_fract_y
_atom_site_fract_z
Cs1 Cs 0.2500 0.2500 0.2500
Li1 Li 0.0000 0.0000 0.0000
N1 N 0.0000 0.0000 0.5000
```

=====

run a (665 meV/atom below the next structure)

=====

Run a
Below is a relaxed CsLi3N crystal, with properties calculated at the GGA-PBE level.

Values from the calculation:
Theoretical density in Mg/m³: 3.3

```
data_CsLi3N
_cell_length_a 4.3951
_cell_length_b 4.3951
_cell_length_c 4.3951
_cell_angle_alpha 90.00
_cell_angle_beta 90.00
_cell_angle_gamma 90.00
_symmetry_space_group_name_H-M 'P m -3 m'
_symmetry_Int_Tables_number 221
_symmetry_space_group_name_Hall '-P 4 2 3'
loop_
_atom_site_label
_atom_site_type_symbol
_atom_site_fract_x
_atom_site_fract_y
_atom_site_fract_z
Cs1 Cs 0.0000 0.0000 0.0000
Li1 Li 0.0000 0.5000 0.5000
N1 N 0.5000 0.5000 0.5000
```

=====

Run b
Below is a relaxed CsLi3N crystal, with properties calculated at the GGA-PBE level.

Values from the calculation:
Theoretical density in Mg/m³: 2.1

```
data_CsLi3N
_cell_length_a 5.0695
_cell_length_b 5.0695
_cell_length_c 5.0695
_cell_angle_alpha 90.00
_cell_angle_beta 90.00
_cell_angle_gamma 90.00
_symmetry_space_group_name_H-M 'P m -3 m'
_symmetry_Int_Tables_number 221
_symmetry_space_group_name_Hall '-P 4 2 3'
loop_
_atom_site_label
_atom_site_type_symbol
_atom_site_fract_x
_atom_site_fract_y
_atom_site_fract_z
Cs1 Cs 0.0000 0.0000 0.0000
Li1 Li 0.0000 0.0000 0.5000
N1 N 0.5000 0.5000 0.5000
```

=====

run a (1702 meV/atom below the next structure)

=====

Run a
Below is a relaxed CsLiTe2N crystal, with properties calculated at the GGA-PBE level.

Values from the calculation:
Theoretical density in Mg/m³: 4.3

```
data_CsLiTe2N
_cell_length_a 6.5090
_cell_length_b 6.5090
_cell_length_c 3.7159
_cell_angle_alpha 90.00
_cell_angle_beta 90.00
_cell_angle_gamma 90.00
_symmetry_space_group_name_H-M 'P 4/m m m'
_symmetry_Int_Tables_number 123
_symmetry_space_group_name_Hall '-P 4 2'
loop_
_atom_site_label
_atom_site_type_symbol
_atom_site_fract_x
_atom_site_fract_y
_atom_site_fract_z
Cs1 Cs 0.0000 0.0000 0.0000
Li1 Li 0.5000 0.5000 0.5000
Te1 Te 0.0000 0.5000 0.5000
N1 N 0.5000 0.5000 0.0000
```

=====

Run b
Below is a relaxed CsLiTe2N crystal, with properties calculated at the GGA-PBE level.

Values from the calculation:
Theoretical density in Mg/m³: 2.7

```
data_CsLiTe2N
_cell_length_a 6.7011
_cell_length_b 6.7011
_cell_length_c 5.6138
_cell_angle_alpha 90.00
_cell_angle_beta 90.00
_cell_angle_gamma 90.00
_symmetry_space_group_name_H-M 'P 4/m m m'
_symmetry_Int_Tables_number 123
_symmetry_space_group_name_Hall '-P 4 2'
loop_
_atom_site_label
_atom_site_type_symbol
_atom_site_fract_x
_atom_site_fract_y
_atom_site_fract_z
Cs1 Cs 0.0000 0.0000 0.0000
Li1 Li 0.5000 0.5000 0.5000
Te1 Te 0.0000 0.5000 0.0000
N1 N 0.0000 0.0000 0.5000
```

=====

run a (681 meV/atom below the next structure)

=====

Run a
Below is a relaxed Cs2NaLi2 crystal, with properties calculated at the GGA-PBE level.

Values from the calculation:
Theoretical density in Mg/m³: 1.7

```
data_Cs2NaLi2
_cell_length_a 11.8907
_cell_length_b 11.8907
_cell_length_c 4.1422
_cell_angle_alpha 90.00
_cell_angle_beta 90.00
_cell_angle_gamma 90.00
_symmetry_space_group_name_H-M 'P 4/m b m'
_symmetry_Int_Tables_number 127
_symmetry_space_group_name_Hall '-P 4 2ab'
loop_
_atom_site_label
_atom_site_type_symbol
_atom_site_fract_x
_atom_site_fract_y
_atom_site_fract_z
Cs1 Cs 0.1934 0.3066 0.0000
Na1 Na 0.0000 0.0000 0.0000
Li1 Li 0.0912 0.5912 0.5000
```

=====

Run b
Below is a relaxed Cs2NaLi2 crystal, with properties calculated at the GGA-PBE level.

Values from the calculation:
Theoretical density in Mg/m³: 1.8

```
data_Cs2NaLi2
_cell_length_a 9.2743
_cell_length_b 9.2743
_cell_length_c 6.4785
_cell_angle_alpha 90.00
_cell_angle_beta 90.00
_cell_angle_gamma 90.00
_symmetry_space_group_name_H-M 'P 4/m b m'
_symmetry_Int_Tables_number 127
_symmetry_space_group_name_Hall '-P 4 2ab'
loop_
_atom_site_label
_atom_site_type_symbol
_atom_site_fract_x
_atom_site_fract_y
_atom_site_fract_z
Cs1 Cs 0.1838 0.3162 0.0000
Na1 Na 0.0000 0.0000 0.5000
Li1 Li 0.1179 0.6179 0.5000
```

=====

Run c
Below is a relaxed Cs2NaLi2 crystal, with properties calculated at the GGA-PBE level.

Values from the calculation:
Theoretical density in Mg/m³: 1.9

```
data_Cs2NaLi2
_cell_length_a 4.4737
_cell_length_b 4.4737
_cell_length_c 26.6109
_cell_angle_alpha 90.00
_cell_angle_beta 90.00
_cell_angle_gamma 90.00
_symmetry_space_group_name_H-M 'I 4/m m m'
_symmetry_Int_Tables_number 139
_symmetry_space_group_name_Hall '-I 4 2'
loop_
_atom_site_label
_atom_site_type_symbol
_atom_site_fract_x
_atom_site_fract_y
_atom_site_fract_z
Cs1 Cs 0.0000 0.0000 0.1181
Na1 Na 0.0000 0.0000 0.5000
Li1 Li 0.0000 0.5000 0.2500
```

=====

run c (14 meV/atom below the next structure)